1.
Compound: SrTl3
Source: the Alexandria database
Functional: PBE
Structure: optimized geometry

As for the electronic total energy: -2.4480 eV/atom. Its formation energy is -0.25 eV/atom.

The structure belongs to space group P6_3/mmc (No. 194); the cell edges are 7.1053, 7.1053 and 11.4013 Å and the angles 90.00°, 90.00° and 120.00°. Symmetry generates all atoms from Sr at (0.0000, 0.0000, 0.0000), Sr at (0.3333, 0.6667, 0.2500), Tl at (0.0000, 0.5000, 0.0000) and Tl at (0.1733, 0.3466, 0.7500).

2.
Compound: SrDyAs2Rh5
Source: the Alexandria database
Functional: PBE
Structure: optimized geometry

As for the electronic total energy: -6.2550 eV/atom. Its formation energy is -0.44 eV/atom.

The structure belongs to space group P4/mmm (No. 123); the cell edges are 4.7342, 4.7342 and 7.5002 Å and the angles 90.00°, 90.00° and 90.00°. Symmetry generates all atoms from Sr at (0.0000, 0.0000, 0.0000), Dy at (0.0000, 0.0000, 0.5000), As at (0.5000, 0.5000, 0.3285), Rh at (0.0000, 0.5000, 0.2746) and Rh at (0.5000, 0.5000, 0.0000).

3.
Compound: AgICl2
Source: the Alexandria database
Functional: PBE
Structure: optimized geometry

As for the electronic total energy: -1.9395 eV/atom. The calculation puts the energy above the most stable polymorph in this dataset at 0.3433 eV per atom.

The structure belongs to space group R-3m (No. 166, hexagonal axes); the cell edges are 3.3673, 3.3673 and 36.8805 Å and the angles 90.00°, 90.00° and 120.00°. Symmetry generates all atoms from Ag at (0.0000, 0.0000, 0.0000), I at (0.0000, 0.0000, 0.5000) and Cl at (0.0000, 0.0000, 0.0626).

4.
Compound: Th6In3C
Source: the Alexandria database
Functional: PBE
Structure: optimized geometry

As for the electronic total energy: -6.3336 eV/atom. Its formation energy is -0.14 eV/atom.

The structure belongs to space group P2_1/c (No. 14); the cell edges are 6.4753, 8.6286 and 11.9301 Å and the angles 90.00°, 117.90° and 90.00°. Symmetry generates all atoms from Th at (0.0801, 0.0603, 0.2260), Th at (0.1655, 0.7295, 0.0570), Th at (0.3876, 0.1439, 0.0438), In at (0.3365, 0.1014, 0.7302), In at (0.5000, 0.0000, 0.5000) and C at (0.0000, 0.0000, 0.0000).

5.
Compound: NaBi4Au4
Source: the Alexandria database
Functional: PBE
Structure: optimized geometry

As for the electronic total energy: -3.3983 eV/atom. The calculation puts the energy above the most stable polymorph in this dataset at 0.0000 eV per atom. Its formation energy is -0.07 eV/atom.

The structure belongs to space group P4_2/nmc (No. 137, origin choice 2); the cell edges are 7.2928, 7.2928 and 9.7748 Å and the angles 90.00°, 90.00° and 90.00°. Symmetry generates all atoms from Na at (0.2500, 0.7500, 0.2500), Bi at (0.0042, 0.2500, 0.1070) and Au at (0.0581, 0.2500, 0.4027).

6.
Compound: Ag5Pb4
Source: the Alexandria database
Functional: PBE
Structure: optimized geometry

As for the electronic total energy: -3.1270 eV/atom. The calculation puts the energy above the most stable polymorph in this dataset at 0.0000 eV per atom. Its formation energy is 0.11 eV/atom.

The structure belongs to space group I4/mmm (No. 139); the cell edges are 9.6198, 9.6198 and 4.5893 Å and the angles 90.00°, 90.00° and 90.00°. Symmetry generates all atoms from Ag at (0.0000, 0.0000, 0.0000), Ag at (0.1567, 0.1567, 0.5000) and Pb at (0.0000, 0.3127, 0.0000).

7.
Compound: MnV3Os2
Source: the Alexandria database
Functional: PBE
Structure: optimized geometry

As for the electronic total energy: -10.0985 eV/atom. Its formation energy is -0.27 eV/atom.

The structure belongs to space group P4/mmm (No. 123); the cell edges are 2.9622, 2.9622 and 9.0017 Å and the angles 90.00°, 90.00° and 90.00°. Symmetry generates all atoms from Mn at (0.0000, 0.0000, 0.0000), V at (0.5000, 0.5000, 0.1529), V at (0.5000, 0.5000, 0.5000) and Os at (0.0000, 0.0000, 0.3258).

8.
Compound: LiMg2AlHg2
Source: the Alexandria database
Functional: PBE
Structure: optimized geometry

As for the electronic total energy: -1.7484 eV/atom. Its formation energy is -0.17 eV/atom.

The structure belongs to space group Pmc2_1 (No. 26); the cell edges are 4.5961, 8.4224 and 6.2659 Å and the angles 90.00°, 90.00° and 90.00°. Symmetry generates all atoms from Li at (0.0000, 0.0351, 0.0000), Mg at (0.0000, 0.3068, 0.3581), Mg at (0.5000, 0.4567, 0.0710), Al at (0.5000, 0.1898, 0.7061), Hg at (0.0000, 0.3526, 0.8186) and Hg at (0.5000, 0.1268, 0.2579).

9.
Compound: Rb2Te2Pd
Source: the Alexandria database
Functional: PBE
Structure: optimized geometry

As for the electronic total energy: -3.2592 eV/atom.

The structure belongs to space group P4/mbm (No. 127); the cell edges are 7.5488, 7.5488 and 5.8441 Å and the angles 90.00°, 90.00° and 90.00°. Symmetry generates all atoms from Rb at (0.1596, 0.3404, 0.0000), Te at (0.1636, 0.6636, 0.5000) and Pd at (0.0000, 0.0000, 0.5000).

10.
Compound: Li2RuRhI
Source: the Alexandria database
Functional: PBE
Structure: optimized geometry

As for the electronic total energy: -3.8217 eV/atom.

The structure belongs to space group P4/mmm (No. 123); the cell edges are 4.9566, 4.9566 and 4.5716 Å and the angles 90.00°, 90.00° and 90.00°. Symmetry generates all atoms from Li at (0.0000, 0.5000, 0.0000), Ru at (0.0000, 0.0000, 0.0000), Rh at (0.0000, 0.0000, 0.5000) and I at (0.5000, 0.5000, 0.5000).

11.
Compound: K3RbHg
Source: the Alexandria database
Functional: PBE
Structure: optimized geometry

As for the electronic total energy: -1.0077 eV/atom. The calculation puts the energy above the most stable polymorph in this dataset at 0.0000 eV per atom. Its formation energy is -0.10 eV/atom.

The structure belongs to space group C2/m (No. 12); the cell edges are 22.3664, 5.4334 and 10.5332 Å and the angles 90.00°, 110.06° and 90.00°. Symmetry generates all atoms from K at (0.1068, 0.0000, 0.1471), K at (0.1735, 0.5000, 0.4898), K at (0.2159, 0.0000, 0.8251), Rb at (0.0389, 0.5000, 0.7376) and Hg at (0.0677, 0.0000, 0.4956).

12.
Compound: Pm2SmTm5
Source: the Alexandria database
Functional: PBE
Structure: optimized geometry

As for the electronic total energy: -4.3938 eV/atom. Its formation energy is 0.18 eV/atom.

The structure belongs to space group C2/c (No. 15); the cell edges are 16.1635, 9.8237 and 6.4635 Å and the angles 90.00°, 97.89° and 90.00°. Symmetry generates all atoms from Pm at (0.0771, 0.2456, 0.1139), Sm at (0.2500, 0.2500, 0.0000), Tm at (0.0000, 0.4429, 0.7500), Tm at (0.0998, 0.0901, 0.6438) and Tm at (0.1958, 0.4110, 0.5215).

13.
Compound: RbScGe
Source: the Alexandria database
Functional: PBE
Structure: optimized geometry

As for the electronic total energy: -4.0816 eV/atom. The calculation puts the energy above the most stable polymorph in this dataset at 0.2509 eV per atom. Its formation energy is -0.11 eV/atom.

The structure belongs to space group P1 (No. 1); the cell edges are 3.7121, 3.7139 and 14.5141 Å and the angles 90.28°, 90.72° and 90.00°. Symmetry generates all atoms from Rb at (0.0000, 0.0000, 0.0000), Rb at (0.4624, 0.4858, 0.3182), Sc at (0.9758, 0.9900, 0.5517), Sc at (0.9873, 0.9960, 0.7499), Ge at (0.4815, 0.4928, 0.6451) and Ge at (0.4910, 0.4975, 0.8274).

14.
Compound: PdPt2Au2
Source: the Alexandria database
Functional: PBE
Structure: optimized geometry

As for the electronic total energy: -4.5297 eV/atom. The calculation puts the energy above the most stable polymorph in this dataset at 0.0000 eV per atom. Its formation energy is 0.24 eV/atom.

The structure belongs to space group P4/mbm (No. 127); the cell edges are 6.9839, 6.9839 and 3.6489 Å and the angles 90.00°, 90.00° and 90.00°. Symmetry generates all atoms from Pd at (0.0000, 0.0000, 0.0000), Pt at (0.1350, 0.3650, 0.0000) and Au at (0.1669, 0.6669, 0.5000).

15.
Compound: ZrPRuS2
Source: the Alexandria database
Functional: PBE
Structure: optimized geometry

As for the electronic total energy: -5.7395 eV/atom. The calculation puts the energy above the most stable polymorph in this dataset at 0.4104 eV per atom.

The structure belongs to space group P4/mmm (No. 123); the cell edges are 4.9010, 4.9010 and 5.0679 Å and the angles 90.00°, 90.00° and 90.00°. Symmetry generates all atoms from Zr at (0.0000, 0.0000, 0.0000), P at (0.0000, 0.0000, 0.5000), Ru at (0.5000, 0.5000, 0.5000) and S at (0.0000, 0.5000, 0.0000).

16.
Compound: ScHgIr2
Source: the Alexandria database
Functional: PBE
Structure: optimized geometry

As for the electronic total energy: -6.2959 eV/atom. Its formation energy is -0.21 eV/atom.

The structure belongs to space group I-4m2 (No. 119); the cell edges are 3.9939, 3.9939 and 8.5122 Å and the angles 90.00°, 90.00° and 90.00°. Symmetry generates all atoms from Sc at (0.0000, 0.0000, 0.0000), Hg at (0.0000, 0.5000, 0.7500), Ir at (0.0000, 0.0000, 0.5000) and Ir at (0.0000, 0.5000, 0.2500).

17.
Compound: PuHg2Pd8
Source: the Alexandria database
Functional: PBE
Structure: optimized geometry

As for the electronic total energy: -5.2920 eV/atom. The calculation puts the energy above the most stable polymorph in this dataset at 0.0826 eV per atom. Its formation energy is -0.16 eV/atom.

The structure belongs to space group C2/m (No. 12); the cell edges are 13.6202, 5.5393 and 5.4326 Å and the angles 90.00°, 104.41° and 90.00°. Symmetry generates all atoms from Pu at (0.0000, 0.0000, 0.0000), Hg at (0.2179, 0.0000, 0.4287), Pd at (0.0789, 0.5000, 0.2096), Pd at (0.0908, 0.2563, 0.6793) and Pd at (0.2474, 0.5000, 0.0330).

18.
Compound: Pr12Hg6H
Source: the Alexandria database
Functional: PBE
Structure: optimized geometry

As for the electronic total energy: -3.5303 eV/atom.

The structure belongs to space group R-3 (No. 148, hexagonal axes); the cell edges are 12.4079, 12.4079 and 13.2981 Å and the angles 90.00°, 90.00° and 120.00°. Symmetry generates all atoms from Pr at (0.0354, 0.8482, 0.3832), Pr at (0.0389, 0.1887, 0.8839), Hg at (0.0007, 0.6015, 0.2503) and H at (0.0000, 0.0000, 0.5000).

19.
Compound: Ag2Br3N
Source: the Alexandria database
Functional: PBE
Structure: optimized geometry

As for the electronic total energy: -2.8215 eV/atom.

The structure belongs to space group P-1 (No. 2); the cell edges are 7.2851, 7.8699 and 8.1135 Å and the angles 65.42°, 67.21° and 76.68°. Symmetry generates all atoms from Ag at (0.1187, 0.1238, 0.2259), Ag at (0.2462, 0.4395, 0.6045), Br at (0.0031, 0.7459, 0.4998), Br at (0.2788, 0.1223, 0.8879), Br at (0.3840, 0.7506, 0.7615) and N at (0.4632, 0.5840, 0.6426).

20.
Compound: VReSn3
Source: the Alexandria database
Functional: PBE
Structure: optimized geometry

As for the electronic total energy: -5.4478 eV/atom. Its formation energy is 1.27 eV/atom.

The structure belongs to space group Pm-3m (No. 221); the cell edges are 5.1128, 5.1128 and 5.1128 Å and the angles 90.00°, 90.00° and 90.00°. Symmetry generates all atoms from V at (0.0000, 0.0000, 0.0000), Re at (0.5000, 0.5000, 0.5000) and Sn at (0.0000, 0.0000, 0.5000).